This record from Alexandria describes a geometry-optimized TbMgGeRh structure. The functional is GGA-PBE.

Values from the calculation:
Its space group is F-43m. Its calculated formation energy is -0.55 eV per atom. The total energy comes out at -5.094 eV/atom. Its density of states at the Fermi level is 1.0 states/eV/f.u.

Cell lengths 4.767, 4.767, 4.767 Å; angles 60.00, 60.00, 60.00 degrees
Sites, in units of the cell vectors:
1 Rh 0.750 0.750 0.750
2 Ge 0.250 0.250 0.250
3 Tb 0.000 0.000 0.000
4 Mg 0.500 0.500 0.500